Record 1
First-principles (GGA-PBE) data for crystalline ZrCdMo2 at its relaxed geometry, as listed in OQMD via LeMat-Bulk.

Cell: 6.627 6.627 6.627 Å, 90.00 90.00 90.00°
Space group F-43m (No. 216)
Inequivalent atoms, fractional coordinates:
Zr 0.000 0.000 0.000 [4 per cell]
Cd 0.250 0.250 0.250 [4 per cell]
Mo 0.000 0.000 0.500 [4 per cell]
Mo 0.250 0.250 0.750 [4 per cell]

## Properties
Total energy in eV per atom: -7.544
Crystal system: cubic

Record 2
First-principles (GGA-PBE) data for crystalline SmPt3C at its relaxed geometry, as listed in OQMD via LeMat-Bulk.

Cell: 5.8614 5.8614 16.6503 Å, 90.00 90.00 120.00°
Space group R-3c (No. 167, hexagonal axes)
Inequivalent atoms, fractional coordinates:
Sm 0.0000 0.0000 0.2500 [6 per cell]
Pt 0.0000 0.4986 0.2500 [18 per cell]
C 0.0000 0.0000 0.0000 [6 per cell]

## Properties
Total energy in eV per atom: -6.676
Distance to the lowest polymorph of the same formula in meV/atom: 116
Crystal system: trigonal

Record 3
First-principles (GGA-PBE) data for crystalline ZrIn2Ir at its relaxed geometry, as listed in OQMD via LeMat-Bulk.

Cell: 6.807 6.807 6.807 Å, 90.00 90.00 90.00°
Space group F-43m (No. 216)
Inequivalent atoms, fractional coordinates:
Zr 0.000 0.000 0.000 [4 per cell]
In 0.000 0.000 0.500 [4 per cell]
In 0.250 0.250 0.750 [4 per cell]
Ir 0.250 0.250 0.250 [4 per cell]

## Properties
Total energy in eV per atom: -5.914
Crystal system: cubic

Record 4
First-principles (GGA-PBE) data for crystalline LuCoPd2 at its relaxed geometry, as listed in OQMD via LeMat-Bulk.

Cell: 6.340 6.340 6.340 Å, 90.00 90.00 90.00°
Space group F-43m (No. 216)
Inequivalent atoms, fractional coordinates:
Lu 0.000 0.000 0.000 [4 per cell]
Co 0.250 0.250 0.750 [4 per cell]
Pd 0.000 0.000 0.500 [4 per cell]
Pd 0.250 0.250 0.250 [4 per cell]

## Properties
Total energy in eV per atom: -5.857
Crystal system: cubic

Record 5
First-principles (GGA-PBE) data for crystalline Pa2Se4I at its relaxed geometry, as listed in OQMD via LeMat-Bulk.

Cell: 8.272 14.212 7.180 Å, 90.00 90.00 90.00°
Space group Ima2 (No. 46)
Inequivalent atoms, fractional coordinates:
Pa 0.000 0.000 0.000 [4 per cell]
Pa 0.250 0.197 0.412 [4 per cell]
Se 0.020 0.198 0.129 [8 per cell]
Se 0.250 0.002 0.277 [4 per cell]
Se 0.250 0.107 0.771 [4 per cell]
I 0.250 0.623 0.273 [4 per cell]

## Properties
Total energy in eV per atom: -6.170
Crystal system: orthorhombic

Record 6
First-principles (GGA-PBE) data for crystalline AlRe2 at its relaxed geometry, as listed in OQMD via LeMat-Bulk.

Cell: 9.404 9.404 4.934 Å, 90.00 90.00 90.00°
Space group P4_2/mnm (No. 136)
Inequivalent atoms, fractional coordinates:
Al 0.000 0.000 0.000 [2 per cell]
Al 0.063 0.264 0.000 [8 per cell]
Re 0.032 0.365 0.500 [8 per cell]
Re 0.100 0.100 0.500 [4 per cell]
Re 0.184 0.816 0.248 [8 per cell]

## Properties
Total energy in eV per atom: -9.551
Crystal system: tetragonal

Record 7
First-principles (GGA-PBE) data for crystalline TbCdCuS3 at its relaxed geometry, as listed in OQMD via LeMat-Bulk.

Cell: 3.797 12.346 10.398 Å, 90.00 90.00 90.00°
Space group Cmcm (No. 63)
Inequivalent atoms, fractional coordinates:
Tb 0.000 0.000 0.000 [4 per cell]
Cd 0.000 0.239 0.250 [4 per cell]
Cu 0.000 0.477 0.750 [4 per cell]
S 0.000 0.095 0.750 [4 per cell]
S 0.000 0.357 0.580 [8 per cell]

## Properties
Total energy in eV per atom: -4.615
Distance to the lowest polymorph of the same formula in meV/atom: 3
Crystal system: orthorhombic

Record 8
First-principles (GGA-PBE) data for crystalline CsTmCdTe3 at its relaxed geometry, as listed in OQMD via LeMat-Bulk.

Cell: 10.101 4.508 11.027 Å, 90.00 110.98 90.00°
Space group P2_1/m (No. 11)
Inequivalent atoms, fractional coordinates:
Cs 0.218 0.250 0.250 [2 per cell]
Tm 0.331 0.750 0.869 [2 per cell]
Cd 0.080 0.250 0.612 [2 per cell]
Te 0.122 0.250 0.877 [2 per cell]
Te 0.226 0.750 0.552 [2 per cell]
Te 0.476 0.750 0.159 [2 per cell]

## Properties
Total energy in eV per atom: -3.671
Crystal system: monoclinic

Record 9
First-principles (GGA-PBE) data for crystalline NdP4I3 at its relaxed geometry, as listed in OQMD via LeMat-Bulk.

Cell: 6.349 6.442 10.945 Å, 90.00 90.00 90.00°
Space group Imm2 (No. 44)
Inequivalent atoms, fractional coordinates:
Nd 0.000 0.000 0.000 [2 per cell]
P 0.000 0.261 0.242 [4 per cell]
P 0.238 0.500 0.255 [4 per cell]
I 0.000 0.500 0.598 [2 per cell]
I 0.244 0.500 0.944 [4 per cell]

## Properties
Total energy in eV per atom: -4.088
Crystal system: orthorhombic

Record 10
First-principles (GGA-PBE) data for crystalline Zn3Sn5O12 at its relaxed geometry, as listed in OQMD via LeMat-Bulk.

Cell: 7.780 7.780 7.780 Å, 90.00 90.00 90.00°
Space group Im-3 (No. 204)
Inequivalent atoms, fractional coordinates:
Zn 0.000 0.000 0.500 [6 per cell]
Sn 0.000 0.000 0.000 [2 per cell]
Sn 0.250 0.250 0.250 [8 per cell]
O 0.000 0.179 0.309 [24 per cell]

## Properties
Total energy in eV per atom: -5.587
Crystal system: cubic

Record 11
First-principles (GGA-PBE) data for crystalline NbMo2 at its relaxed geometry, as listed in OQMD via LeMat-Bulk.

Cell: 6.169 6.169 6.169 Å, 90.00 90.00 90.00°
Space group Fm-3m (No. 225)
Inequivalent atoms, fractional coordinates:
Nb 0.000 0.000 0.000 [4 per cell]
Mo 0.250 0.250 0.250 [8 per cell]

## Properties
Total energy in eV per atom: -9.516
Crystal system: cubic

Record 12
First-principles (GGA-PBE) data for crystalline LiY2Ir at its relaxed geometry, as listed in OQMD via LeMat-Bulk.

Cell: 5.0862 5.0862 8.2046 Å, 90.00 90.00 120.00°
Space group P6_3/mmc (No. 194)
Inequivalent atoms, fractional coordinates:
Li 0.0000 0.0000 0.0000 [2 per cell]
Y 0.3333 0.6667 0.0823 [4 per cell]
Ir 0.3333 0.6667 0.7500 [2 per cell]

## Properties
Total energy in eV per atom: -5.864
Crystal system: hexagonal

Record 13
First-principles (GGA-PBE) data for crystalline Dy6Lu2Te at its relaxed geometry, as listed in OQMD via LeMat-Bulk.

Cell: 9.1916 9.1916 3.7481 Å, 90.00 90.00 120.00°
Space group P-62m (No. 189)
Inequivalent atoms, fractional coordinates:
Dy 0.0000 0.2759 0.0000 [3 per cell]
Dy 0.0000 0.6154 0.5000 [3 per cell]
Lu 0.3333 0.6667 0.0000 [2 per cell]
Te 0.0000 0.0000 0.5000 [1 per cell]

## Properties
Total energy in eV per atom: -4.700
Crystal system: hexagonal

Record 14
First-principles (GGA-PBE) data for crystalline CsSmCl3 at its relaxed geometry, as listed in OQMD via LeMat-Bulk.

Cell: 7.737 7.737 5.477 Å, 90.00 90.00 90.00°
Space group P4/mbm (No. 127)
Inequivalent atoms, fractional coordinates:
Cs 0.000 0.500 0.000 [2 per cell]
Sm 0.000 0.000 0.500 [2 per cell]
Cl 0.000 0.000 0.000 [2 per cell]
Cl 0.239 0.261 0.500 [4 per cell]

## Properties
Total energy in eV per atom: -4.155
Crystal system: tetragonal

Record 15
First-principles (GGA-PBE) data for crystalline GdSnTe3Au at its relaxed geometry, as listed in OQMD via LeMat-Bulk.

Cell: 9.035 4.370 18.695 Å, 90.00 90.00 90.00°
Space group Pnma (No. 62)
Inequivalent atoms, fractional coordinates:
Gd 0.200 0.250 0.049 [4 per cell]
Sn 0.090 0.250 0.786 [4 per cell]
Te 0.088 0.250 0.617 [4 per cell]
Te 0.146 0.250 0.216 [4 per cell]
Te 0.147 0.750 0.932 [4 per cell]
Au 0.046 0.250 0.452 [4 per cell]

## Properties
Total energy in eV per atom: -4.204
Distance to the lowest polymorph of the same formula in meV/atom: 24
Crystal system: orthorhombic

Record 16
First-principles (GGA-PBE) data for crystalline RbNdPdS3 at its relaxed geometry, as listed in OQMD via LeMat-Bulk.

Cell: 4.177 15.553 10.239 Å, 90.00 90.00 90.00°
Space group Cmcm (No. 63)
Inequivalent atoms, fractional coordinates:
Rb 0.000 0.248 0.250 [4 per cell]
Nd 0.000 0.000 0.000 [4 per cell]
Pd 0.000 0.496 0.750 [4 per cell]
S 0.000 0.083 0.750 [4 per cell]
S 0.000 0.388 0.584 [8 per cell]

## Properties
Total energy in eV per atom: -5.050
Crystal system: orthorhombic

Record 17
First-principles (GGA-PBE) data for crystalline RbFeAg at its relaxed geometry, as listed in OQMD via LeMat-Bulk.

Cell: 7.210 7.210 7.210 Å, 90.00 90.00 90.00°
Space group F-43m (No. 216)
Inequivalent atoms, fractional coordinates:
Rb 0.000 0.000 0.000 [4 per cell]
Fe 0.250 0.250 0.750 [4 per cell]
Ag 0.000 0.000 0.500 [4 per cell]

## Properties
Total energy in eV per atom: -2.894
Distance to the lowest polymorph of the same formula in meV/atom: 0
Crystal system: cubic

Record 18
First-principles (GGA-PBE) data for crystalline HgIr15 at its relaxed geometry, as listed in OQMD via LeMat-Bulk.

Cell: 7.733 2.734 35.791 Å, 90.00 90.01 90.00°
Space group P2_1/m (No. 11)
Inequivalent atoms, fractional coordinates:
Hg 0.124 0.250 0.201 [2 per cell]
Ir 0.125 0.250 0.289 [2 per cell]
Ir 0.125 0.250 0.366 [2 per cell]
Ir 0.125 0.250 0.442 [2 per cell]
Ir 0.125 0.250 0.519 [2 per cell]
Ir 0.125 0.250 0.672 [2 per cell]
Ir 0.126 0.250 0.596 [2 per cell]
Ir 0.129 0.250 0.749 [2 per cell]
Ir 0.374 0.750 0.328 [2 per cell]
Ir 0.374 0.750 0.783 [2 per cell]
Ir 0.375 0.750 0.481 [2 per cell]
Ir 0.375 0.750 0.557 [2 per cell]
Ir 0.375 0.750 0.634 [2 per cell]
Ir 0.375 0.750 0.709 [2 per cell]
Ir 0.376 0.750 0.404 [2 per cell]
Ir 0.380 0.750 0.251 [2 per cell]

## Properties
Total energy in eV per atom: -8.133
Distance to the lowest polymorph of the same formula in meV/atom: 59
Crystal system: monoclinic

Record 19
First-principles (GGA-PBE) data for crystalline RbIr3Se5 at its relaxed geometry, as listed in OQMD via LeMat-Bulk.

Cell: 5.8969 5.8969 7.2614 Å, 90.00 90.00 120.00°
Space group P6/mmm (No. 191)
Inequivalent atoms, fractional coordinates:
Rb 0.0000 0.0000 0.0000 [1 per cell]
Ir 0.0000 0.5000 0.5000 [3 per cell]
Se 0.0000 0.0000 0.5000 [1 per cell]
Se 0.3333 0.6667 0.2500 [4 per cell]

## Properties
Total energy in eV per atom: -5.183
Crystal system: hexagonal

Record 20
First-principles (GGA-PBE) data for crystalline AcNiPt at its relaxed geometry, as listed in OQMD via LeMat-Bulk.

Cell: 6.786 6.786 6.786 Å, 90.00 90.00 90.00°
Space group F-43m (No. 216)
Inequivalent atoms, fractional coordinates:
Ac 0.000 0.000 0.000 [4 per cell]
Ni 0.250 0.250 0.750 [4 per cell]
Pt 0.250 0.250 0.250 [4 per cell]

## Properties
Total energy in eV per atom: -5.143
Distance to the lowest polymorph of the same formula in meV/atom: 568
Crystal system: cubic

Record 21
First-principles (GGA-PBE) data for crystalline Nb2SnTe2 at its relaxed geometry, as listed in OQMD via LeMat-Bulk.

Cell: 3.966 3.966 16.482 Å, 90.00 90.00 90.00°
Space group I4/mmm (No. 139)
Inequivalent atoms, fractional coordinates:
Nb 0.000 0.500 0.250 [4 per cell]
Sn 0.000 0.000 0.000 [2 per cell]
Te 0.000 0.000 0.375 [4 per cell]

## Properties
Total energy in eV per atom: -6.096
Distance to the lowest polymorph of the same formula in meV/atom: 0
Crystal system: tetragonal